This record from Alexandria via LeMat-Bulk describes a relaxed structure of SmYHgRu. The functional is PBE.

Structure (CIF):
```
data_SmYHgRu
_chemical_formula_sum 'Sm1 Y1 Hg1 Ru1'
_cell_length_a 3.518
_cell_length_b 3.518
_cell_length_c 7.604
_cell_angle_alpha 90.00
_cell_angle_beta 90.00
_cell_angle_gamma 90.00
_symmetry_space_group_name_H-M 'P 4 m m'
_symmetry_Int_Tables_number 99
_symmetry_space_group_name_Hall 'P 4 -2'
loop_
_atom_site_label
_atom_site_type_symbol
_atom_site_fract_x
_atom_site_fract_y
_atom_site_fract_z
Sm1 Sm 0.000 0.000 0.000
Y1 Y 0.000 0.000 0.559
Hg1 Hg 0.500 0.500 0.289
Ru1 Ru 0.500 0.500 0.775
```

Computed properties:
* ΔE_f: -0.42 eV/atom
* raw total energy: -5.61 eV/atom
* excess energy over the best structure of this formula in the dataset: 0.000 eV/atom

This record from Alexandria via LeMat-Bulk describes a relaxed structure of PmNiGe2. The functional is PBE.

Structure (CIF):
```
data_PmNiGe2
_chemical_formula_sum 'Pm4 Ni4 Ge8'
_cell_length_a 4.223
_cell_length_b 16.794
_cell_length_c 4.215
_cell_angle_alpha 90.00
_cell_angle_beta 90.00
_cell_angle_gamma 90.00
_symmetry_space_group_name_H-M 'C m c m'
_symmetry_Int_Tables_number 63
_symmetry_space_group_name_Hall '-C 2c 2'
loop_
_atom_site_label
_atom_site_type_symbol
_atom_site_fract_x
_atom_site_fract_y
_atom_site_fract_z
Pm1 Pm 0.000 0.108 0.250
Ni1 Ni 0.000 0.319 0.250
Ge1 Ge 0.000 0.250 0.750
Ge2 Ge 0.000 0.458 0.250
```

Computed properties:
* ΔE_f: -0.75 eV/atom
* raw total energy: -5.69 eV/atom
* excess energy over the best structure of this formula in the dataset: 0.000 eV/atom

This record from Alexandria via LeMat-Bulk describes a relaxed structure of Ba8Pt2Rh. The functional is PBE.

Structure (CIF):
```
data_Ba8Pt2Rh
_chemical_formula_sum 'Ba16 Pt4 Rh2'
_cell_length_a 15.267
_cell_length_b 8.291
_cell_length_c 8.506
_cell_angle_alpha 90.00
_cell_angle_beta 90.60
_cell_angle_gamma 90.00
_symmetry_space_group_name_H-M 'C 1 2/m 1'
_symmetry_Int_Tables_number 12
_symmetry_space_group_name_Hall '-C 2y'
loop_
_atom_site_label
_atom_site_type_symbol
_atom_site_fract_x
_atom_site_fract_y
_atom_site_fract_z
Ba1 Ba 0.036 0.237 0.239
Ba2 Ba 0.193 0.000 0.624
Ba3 Ba 0.215 0.500 0.897
Pt1 Pt 0.101 0.000 0.956
Rh1 Rh 0.000 0.000 0.500
```

Computed properties:
* ΔE_f: -0.35 eV/atom
* raw total energy: -3.51 eV/atom
* excess energy over the best structure of this formula in the dataset: 0.000 eV/atom

This record from Alexandria via LeMat-Bulk describes a relaxed structure of K2LaNiSb. The functional is PBE.

Structure (CIF):
```
data_K2LaNiSb
_chemical_formula_sum 'K2 La1 Ni1 Sb1'
_cell_length_a 6.752
_cell_length_b 6.752
_cell_length_c 4.574
_cell_angle_alpha 90.00
_cell_angle_beta 90.00
_cell_angle_gamma 90.00
_symmetry_space_group_name_H-M 'P 4/m m m'
_symmetry_Int_Tables_number 123
_symmetry_space_group_name_Hall '-P 4 2'
loop_
_atom_site_label
_atom_site_type_symbol
_atom_site_fract_x
_atom_site_fract_y
_atom_site_fract_z
K1 K 0.000 0.500 0.000
La1 La 0.000 0.000 0.000
Ni1 Ni 0.000 0.000 0.500
Sb1 Sb 0.500 0.500 0.500
```

Computed properties:
* uncorrected formation energy: 0.66 eV/atom
* raw total energy: -2.74 eV/atom